VASP calculation (PBE-GGA) on crystalline KNiTe at its relaxed geometry.

POSCAR file:
```
KNiTe
1.0
6.527 -0.088 0.082
5.519 3.474 0.351
1.009 0.025 3.572
K Ni Te
1 1 1
direct
0.007 0.007 0.993
0.264 0.264 0.736
0.729 0.729 0.271
```

Summary:
E: -10.52 eV/cell
energy relative to the elements, uncorrected: -0.167 eV per atom
symmetry: No. 42
M_tot: 0.31 μB/cell

VASP calculation (PBE-GGA) on crystalline CaPr3Sm6Dy2 at its relaxed geometry.

POSCAR file:
```
CaPr3Sm6Dy2
1.0
-2.157 1.251 -5.835
-1.908 -5.233 3.039
-7.752 7.356 5.593
Ca Pr Sm Dy
1 3 6 2
direct
0.000 0.000 0.000
0.166 0.834 0.500
0.834 0.166 0.500
0.500 0.500 0.500
0.917 0.576 0.752
0.743 0.743 0.248
0.083 0.424 0.248
0.576 0.917 0.752
0.257 0.257 0.752
0.424 0.083 0.248
0.333 0.667 0.000
0.667 0.333 0.000
```

Summary:
E: -53.33 eV/cell
formation energy from the elements: 0.0445 eV/atom
symmetry: No. 12
M_tot: 0.00 μB/cell

VASP calculation (PBE-GGA) on crystalline K2LiCl at its relaxed geometry.

POSCAR file:
```
K2LiCl
1.0
-1.004 -7.137 -1.511
-1.098 -2.697 6.764
-2.661 4.220 -5.417
Cl K Li
1 2 1
direct
0.250 0.750 0.500
0.064 0.064 0.000
0.436 0.436 0.000
0.750 0.250 0.500
```

Summary:
E: -8.65 eV/cell
energy relative to the elements, uncorrected: -0.674 eV per atom
symmetry: No. 71
M_tot: 0.00 μB/cell

VASP calculation (PBE-GGA) on crystalline Na3TlPt8 at its relaxed geometry.

POSCAR file:
```
Na3TlPt8
1.0
5.151 0.000 1.555
2.341 4.589 1.555
-0.014 -0.008 9.355
Na Tl Pt
3 1 8
direct
0.375 0.375 0.876
0.001 0.001 0.997
0.499 0.499 0.503
0.875 0.875 0.374
0.937 0.438 0.187
0.438 0.937 0.688
0.438 0.438 0.187
0.937 0.937 0.688
0.187 0.187 0.438
0.688 0.688 0.937
0.438 0.937 0.187
0.937 0.438 0.688
```

Summary:
E: -58.18 eV/cell
formation energy from the elements: -0.2939 eV/atom
symmetry: No. 160
M_tot: 0.00 μB/cell